PBE Na3Pa2PdSe6, relaxed; density of states at the Fermi level = 0.649 states/eV per atom; spin magnetization = 1.06 μB/cell; E_form (uncorrected) = -1148 meV per atom
1.0
7.0527 0.0061 0.0027
-3.5194 6.1119 0.0027
-1.1757 -2.0358 7.0374
Na Pa Pd Se
3 2 1 6
direct
0.1616 0.8384 0.5000
0.8384 0.1616 0.5000
0.5000 0.5000 0.5000
0.3330 0.6670 0.0000
0.6670 0.3330 0.0000
0.0000 0.0000 0.0000
0.9231 0.5816 0.7698
0.7354 0.7354 0.2301
0.0769 0.4184 0.2302
0.5816 0.9231 0.7698
0.2646 0.2646 0.7699
0.4184 0.0769 0.2302

PBE Na3Pa2Te6Pd, relaxed; density of states at the Fermi level = 0.651 states/eV per atom; spin magnetization = 0.99 μB/cell; E_form (uncorrected) = -775 meV per atom
1.0
7.5001 -0.0038 -0.0003
-3.7515 6.4944 -0.0003
-1.2506 -2.1655 7.5679
Na Pa Te Pd
3 2 6 1
direct
0.1688 0.8312 0.5000
0.8312 0.1688 0.5000
0.5000 0.5000 0.5000
0.3340 0.6660 0.0000
0.6660 0.3340 0.0000
0.9246 0.5966 0.7729
0.7487 0.7487 0.2290
0.0754 0.4034 0.2271
0.5966 0.9246 0.7729
0.2513 0.2513 0.7710
0.4034 0.0754 0.2271
0.0000 0.0000 0.0000

PBE Na3Pa3Te8Pd, relaxed; density of states at the Fermi level = 1.516 states/eV per atom; spin magnetization = 3.44 μB/cell; E_form (uncorrected) = -749 meV per atom
1.0
8.6318 0.0000 0.0000
-4.3159 7.3755 -0.0098
0.0000 -4.8685 7.7892
Na Pa Te Pd
3 3 8 1
direct
0.0000 0.0000 0.0000
0.0000 0.5000 0.0000
0.5000 0.5000 0.0000
0.5000 0.0000 0.5000
0.5000 0.5000 0.5000
0.0000 0.5000 0.5000
0.2526 0.5053 0.2591
0.7474 0.4947 0.7409
0.7711 0.5422 0.2819
0.2289 0.4578 0.7181
0.7614 0.0133 0.2742
0.2386 0.9867 0.7258
0.2518 0.0133 0.2742
0.7482 0.9867 0.7258
0.0000 0.0000 0.5000

PBE Na4Pa3Te8Pd, relaxed; density of states at the Fermi level = 1.379 states/eV per atom; spin magnetization = 3.42 μB/cell; E_form (uncorrected) = -783 meV per atom
1.0
8.6666 0.0000 0.0000
0.0000 9.1330 0.2945
-4.3333 -4.3474 6.1522
Na Pa Te Pd
4 3 8 1
direct
0.5000 0.0000 0.0000
0.5000 0.0000 0.5000
0.0000 0.0000 0.0000
0.0000 0.0000 0.5000
0.5000 0.5000 0.0000
0.5000 0.5000 0.5000
0.0000 0.5000 0.5000
0.2368 0.7263 0.9893
0.2389 0.7282 0.4777
0.2531 0.2588 0.5061
0.7526 0.7263 0.9893
0.2474 0.2737 0.0107
0.7469 0.7412 0.4939
0.7611 0.2718 0.5223
0.7632 0.2737 0.0107
0.0000 0.5000 0.0000

PBE Na2Pm2PaS6, relaxed; density of states at the Fermi level = 0.211 states/eV per atom; spin magnetization = 1.07 μB/cell; E_form (uncorrected) = -1738 meV per atom
1.0
-3.2243 5.8978 2.1362
2.1832 -4.6981 4.7859
6.2865 2.7246 -1.9342
Na Pm Pa S
2 2 1 6
direct
0.8312 0.1688 0.0000
0.1688 0.8312 0.0000
0.3348 0.6652 0.5000
0.6652 0.3348 0.5000
0.0000 0.0000 0.5000
0.7579 0.7579 0.7239
0.0698 0.3963 0.7239
0.2421 0.2421 0.2761
0.3963 0.0698 0.7239
0.9302 0.6037 0.2761
0.6037 0.9302 0.2761

PBE NaPm2PaS5, relaxed; density of states at the Fermi level = 0.525 states/eV per atom; spin magnetization = 0.00 μB/cell; E_form (uncorrected) = -1609 meV per atom
1.0
5.0501 0.0000 0.0000
0.0000 7.0947 0.0000
-2.5251 -3.5473 6.9216
Na Pm Pa S
1 2 1 5
direct
0.0000 0.5000 0.0000
0.2024 0.2024 0.4048
0.7976 0.7976 0.5952
0.5000 0.0000 0.0000
0.6491 0.9082 0.2982
0.3509 0.0918 0.7018
0.3509 0.6100 0.7018
0.6491 0.3900 0.2982
0.0000 0.0000 0.0000

PBE Na3Pm2PaS6, relaxed; density of states at the Fermi level = 0.572 states/eV per atom; spin magnetization = 1.57 μB/cell; E_form (uncorrected) = -1672 meV per atom
1.0
6.9952 -0.0008 -0.0008
-3.4966 6.0587 -0.0008
-1.1680 -2.0223 6.7368
Na Pm Pa S
3 2 1 6
direct
0.1686 0.8314 0.5000
0.8314 0.1686 0.5000
0.5000 0.5000 0.5000
0.3334 0.6666 0.0000
0.6666 0.3334 0.0000
0.0000 0.0000 0.0000
0.9218 0.5991 0.7657
0.7554 0.7554 0.2328
0.0782 0.4009 0.2343
0.5991 0.9218 0.7657
0.2446 0.2446 0.7672
0.4009 0.0782 0.2343

PBE Na2PmPaS4, relaxed; density of states at the Fermi level = 0.779 states/eV per atom; spin magnetization = 1.88 μB/cell; E_form (uncorrected) = -1608 meV per atom
1.0
3.9948 0.0000 0.0000
0.0000 6.9817 0.1208
0.0000 -2.4147 6.7323
Na Pm Pa S
2 1 1 4
direct
0.5000 0.0000 0.5000
0.0000 0.5000 0.5000
0.0000 0.0000 0.0000
0.5000 0.5000 0.0000
0.5000 0.2541 0.2347
0.5000 0.7459 0.7653
0.0000 0.2616 0.7666
0.0000 0.7384 0.2334

PBE NaPm2PaSe5, relaxed; density of states at the Fermi level = 0.675 states/eV per atom; spin magnetization = 0.68 μB/cell; E_form (uncorrected) = -1412 meV per atom
1.0
-1.0409 -1.3904 5.0015
2.9352 -6.6852 -1.2476
5.5423 6.5069 0.1600
Na Pm Pa Se
1 2 1 5
direct
0.0000 0.5000 0.0000
0.2012 0.2012 0.4023
0.7988 0.7988 0.5977
0.5000 0.0000 0.0000
0.6496 0.9062 0.2991
0.3504 0.0938 0.7009
0.3504 0.6071 0.7009
0.6496 0.3929 0.2991
0.0000 0.0000 0.0000

PBE Na2Pm2PaSe6, relaxed; density of states at the Fermi level = 0.229 states/eV per atom; spin magnetization = 1.06 μB/cell; E_form (uncorrected) = -1591 meV per atom
1.0
-4.1465 5.7393 -1.8149
1.5834 -5.0473 -5.0443
-4.9242 -3.8364 4.0772
Na Pm Pa Se
2 2 1 6
direct
0.8307 0.1693 0.0000
0.1693 0.8307 0.0000
0.3342 0.6658 0.5000
0.6658 0.3342 0.5000
0.0000 0.0000 0.5000
0.7559 0.7559 0.7287
0.0745 0.4004 0.7292
0.2441 0.2441 0.2713
0.4004 0.0745 0.7292
0.9255 0.5996 0.2708
0.5996 0.9255 0.2708

PBE Na3Pm2PaSe6, relaxed; density of states at the Fermi level = 0.593 states/eV per atom; spin magnetization = 1.73 μB/cell; E_form (uncorrected) = -1536 meV per atom
1.0
-2.4743 6.7696 -0.9771
0.2244 -2.8593 6.6841
7.2890 1.2075 -1.0499
Na Pm Pa Se
3 2 1 6
direct
0.1689 0.8311 0.5000
0.8311 0.1689 0.5000
0.5000 0.5000 0.5000
0.3335 0.6665 0.0000
0.6665 0.3335 0.0000
0.0000 0.0000 0.0000
0.9210 0.5956 0.7630
0.7539 0.7539 0.2362
0.0790 0.4044 0.2370
0.5956 0.9210 0.7630
0.2461 0.2461 0.7638
0.4044 0.0790 0.2370

PBE NaPm2PaTe4, relaxed; density of states at the Fermi level = 0.811 states/eV per atom; spin magnetization = 1.52 μB/cell; E_form (uncorrected) = -1145 meV per atom
1.0
-2.8902 -0.2301 3.2813
2.8621 -6.9815 2.0314
3.8617 5.4202 3.7815
Na Pm Pa Te
1 2 1 4
direct
0.0000 0.0000 0.0000
0.5000 0.0000 0.5000
0.0000 0.5000 0.5000
0.5000 0.5000 0.0000
0.5000 0.2498 0.2452
0.5000 0.7502 0.7548
0.0000 0.2505 0.7564
0.0000 0.7495 0.2436